# 1
A plane-wave DFT calculation with PBE was carried out for a geometry-optimized FeC3Br structure.

Cell lengths 3.8295, 3.8295, 3.8295 Å; angles 90.00, 90.00, 90.00 degrees
Last column: nearest neighbours and their distance in Å.
Element x y z (fractional)
C 0.0000 0.5000 0.0000  2 Br 1.91
C 0.5000 0.0000 0.0000  2 Br 1.91
C 0.0000 0.0000 0.5000  2 Br 1.91
Br 0.0000 0.0000 0.0000  6 C 1.91
Fe 0.5000 0.5000 0.5000  12 C 2.71

crystal system: cubic
DOS(E_F): 1.5887 states/eV/atom
formation energy (no corrections): 3.8068 eV per atom
volume: 56.2 Å³/f.u.



# 2
A plane-wave DFT calculation with PBE was carried out for a geometry-optimized FePH12C4Br4 structure.

Cell lengths 8.1677, 8.1677, 8.1677 Å; angles 60.00, 60.00, 60.00 degrees
Last column: nearest neighbours and their distance in Å.
Element x y z (fractional)
H 0.7154 0.4955 0.0736  1 C 1.10
H 0.7154 0.4955 0.7154  1 C 1.10
H 0.0736 0.7154 0.4955  1 C 1.10
H 0.7154 0.0736 0.4955  1 C 1.10
H 0.7154 0.7154 0.4955  1 C 1.10
H 0.4955 0.7154 0.0736  1 C 1.10
H 0.4955 0.7154 0.7154  1 C 1.10
H 0.4955 0.0736 0.7154  1 C 1.10
H 0.7154 0.7154 0.0736  1 C 1.10
H 0.7154 0.0736 0.7154  1 C 1.10
H 0.0736 0.7154 0.7154  1 C 1.10
H 0.0736 0.4955 0.7154  1 C 1.10
Br 0.1319 0.1319 0.1319  1 Fe 2.36
Br 0.6043 0.1319 0.1319  1 Fe 2.36
Br 0.1319 0.1319 0.6043  1 Fe 2.36
Br 0.1319 0.6043 0.1319  1 Fe 2.36
C 0.6602 0.6602 0.0193  3 H 1.10
C 0.6602 0.6602 0.6602  3 H 1.10
C 0.0193 0.6602 0.6602  3 H 1.10
C 0.6602 0.0193 0.6602  3 H 1.10
Fe 0.2500 0.2500 0.2500  4 Br 2.36
P 0.7500 0.7500 0.7500  4 C 1.80

crystal system: cubic
E_tot: -4.806 eV/atom
volume: 385.3 Å³/f.u.



# 3
A plane-wave DFT calculation with PBE was carried out for a geometry-optimized FePH6CBr3 structure.

Cell lengths 8.4720, 6.3093, 17.6206 Å; angles 88.41, 118.05, 90.30 degrees
Last column: nearest neighbours and their distance in Å.
Element x y z (fractional)
H 0.9908 0.9118 0.6277  1 C 1.10
H 0.9476 0.4690 0.5868  1 P 1.42
H 0.7174 0.5737 0.9866  1 P 1.42
H 0.2253 0.4401 0.8546  1 P 1.41
H 0.2217 0.0787 0.8545  1 P 1.41
H 0.6486 0.5379 0.5232  1 P 1.40
H 0.8480 0.8006 0.6683  1 C 1.10
H 0.8161 0.6819 0.4642  1 P 1.42
H 0.9945 0.2359 0.3010  1 P 1.42
H 0.2957 0.2492 0.0200  1 C 1.10
H 0.0999 0.1309 0.4804  1 C 1.10
H 0.0519 0.7453 0.1228  1 C 1.10
H 0.7189 0.9365 0.9861  1 P 1.42
H 0.2588 0.4179 0.3543  1 P 1.42
H 0.5842 0.7515 0.0539  1 P 1.42
H 0.7555 0.9736 0.5749  1 C 1.10
H 0.1087 0.4137 0.4701  1 C 1.10
H 0.9572 0.2661 0.8000  1 P 1.42
H 0.0868 0.1120 0.9787  1 C 1.10
H 0.2607 0.0538 0.3666  1 P 1.42
H 0.9411 0.8853 0.1720  1 C 1.10
H 0.9392 0.6019 0.1725  1 C 1.10
H 0.3121 0.2611 0.5231  1 C 1.10
H 0.0895 0.3957 0.9785  1 C 1.10
C 0.1737 0.2631 0.4708  3 H 1.10
C 0.8567 0.8504 0.6100  3 H 1.10
C 0.9367 0.7455 0.1354  3 H 1.10
C 0.1543 0.2535 0.9711  3 H 1.10
Fe 0.5371 0.4596 0.2564  6 Br 2.59-2.78, 1 Fe 2.83
Fe 0.5114 0.9926 0.7521  6 Br 2.55-2.72, 1 Fe 2.80
Fe 0.5146 0.5483 0.7526  6 Br 2.55-2.74, 1 Fe 2.80
Fe 0.5318 0.0109 0.2557  6 Br 2.58-2.74, 1 Fe 2.83
Br 0.6503 0.2630 0.8855  2 H 2.56, 2 Fe 2.70-2.72
Br 0.8059 0.7710 0.8219  2 Fe 2.60, 1 H 2.89
Br 0.6425 0.2836 0.6803  1 H 2.50, 2 Fe 2.65-2.72
Br 0.3738 0.7631 0.8323  2 H 2.51-2.52, 2 Fe 2.62-2.63
Br 0.4069 0.7357 0.3345  2 H 2.46-2.57, 1 Fe 2.70
Br 0.2455 0.2417 0.1956  2 Fe 2.58-2.59
Br 0.3618 0.7782 0.6157  2 Fe 2.55
Br 0.6797 0.2235 0.3958  2 Fe 2.59-2.60
Br 0.8121 0.7273 0.3191  1 H 2.55, 2 Fe 2.67-2.74
Br 0.6690 0.2391 0.1762  1 H 2.60, 2 Fe 2.61
Br 0.2362 0.2695 0.6951  1 H 2.59, 2 Fe 2.69-2.74
Br 0.3888 0.7446 0.1275  2 H 2.54-2.82, 2 Fe 2.65-2.66
P 0.8150 0.6271 0.5427  3 H 1.40-1.42
P 0.1381 0.2596 0.8658  3 H 1.41-1.42
P 0.1721 0.2411 0.3692  3 H 1.42
P 0.7314 0.7521 0.0363  3 H 1.42

crystal system: triclinic
E_tot: -4.308 eV/atom
DOS(E_F): 0.2693 states/eV/atom
volume: 207.7 Å³/f.u.